[1]
A plane-wave DFT calculation with PBE-GGA was carried out for a geometry-optimized NdSmTh2Rh4 structure.

Its total energy is -59.597 eV/cell. The calculation puts the energy of formation from the pure elements at -733 meV per atom. As for the space-group type: Fmm2 (42). The density of states at the Fermi level is 5.5 states/eV per cell.

Lattice parameters (Å, degrees): 5.7884 5.7884 7.1174 115.93 115.93 85.68
With the nearest neighbours (Å) after each atom.
Atoms (fractional coordinates):
Nd1 0.9184 0.9184 0.0000  6 Rh 2.88-2.96
Sm1 0.4785 0.4785 0.0000  6 Rh 2.83-2.96
Th1 0.1771 0.6771 0.5000  6 Rh 2.88-2.91
Th2 0.6771 0.1771 0.5000  6 Rh 2.88-2.91
Rh1 0.9897 0.4060 0.0000  2 Th 2.88, 2 Nd 2.88-2.96, 2 Sm 2.89-2.96
Rh2 0.4060 0.9897 0.0000  2 Th 2.88, 2 Nd 2.88-2.96, 2 Sm 2.89-2.96
Rh3 0.1808 0.1808 0.5111  1 Sm 2.83, 4 Th 2.88-2.91, 1 Nd 2.92
Rh4 0.6697 0.6697 0.4889  1 Sm 2.83, 4 Th 2.88-2.91, 1 Nd 2.92

=====

[2]
A plane-wave DFT calculation with PBE-GGA was carried out for a geometry-optimized NdSmTlRh structure.

Its total energy is -20.822 eV/cell. The calculation puts the energy of formation from the pure elements at -404 meV per atom. As for the space-group type: F-43m (216). The density of states at the Fermi level is 3.4 states/eV per cell.

Lattice parameters (Å, degrees): 5.2501 5.2501 5.2501 60.00 60.00 60.00
With the nearest neighbours (Å) after each atom.
Atoms (fractional coordinates):
Rh1 0.5000 0.5000 0.5000  4 Nd 3.22, 4 Sm 3.22
Tl1 0.0000 0.0000 0.0000  4 Nd 3.22, 4 Sm 3.22
Nd1 0.7500 0.7500 0.7500  4 Tl 3.22, 4 Rh 3.22
Sm1 0.2500 0.2500 0.2500  4 Tl 3.22, 4 Rh 3.22

=====

[3]
A plane-wave DFT calculation with PBE-GGA was carried out for a geometry-optimized NdSmTlRh structure.

Its total energy is -21.299 eV/cell. The calculation puts the energy of formation from the pure elements at -523 meV per atom. As for the space-group type: P4mm (99). The density of states at the Fermi level is 3.5 states/eV per cell.

Lattice parameters (Å, degrees): 3.5804 3.5804 8.0123 90.00 90.00 90.00
With the nearest neighbours (Å) after each atom.
Atoms (fractional coordinates):
Nd1 0.5000 0.5000 0.7843  4 Rh 3.08, 1 Sm 3.40, 4 Tl 3.45
Sm1 0.5000 0.5000 0.3595  4 Rh 3.02
Tl1 0.0000 0.0000 0.0761  4 Sm 3.40, 4 Nd 3.45, 4 Tl 3.58
Rh1 0.0000 0.0000 0.5649  4 Sm 3.02, 4 Nd 3.08

=====

[4]
A plane-wave DFT calculation with PBE-GGA was carried out for a geometry-optimized Nd2Sm2ZnRh4 structure.

Its total energy is -53.052 eV/cell. The calculation puts the energy of formation from the pure elements at -378 meV per atom. As for the space-group type: I4/mmm (139). The density of states at the Fermi level is 7.0 states/eV per cell.

Lattice parameters (Å, degrees): 6.4524 6.4524 6.4524 96.64 116.24 116.24
With the nearest neighbours (Å) after each atom.
Atoms (fractional coordinates):
Nd1 0.5000 0.7500 0.2500  8 Rh 3.23, 4 Sm 3.45
Nd2 0.5000 0.2500 0.7500  8 Rh 3.23, 4 Sm 3.45
Sm1 0.0000 0.6868 0.6868  1 Zn 2.69, 4 Rh 2.82
Sm2 0.0000 0.3132 0.3132  1 Zn 2.69, 4 Rh 2.82
Zn1 0.0000 0.0000 0.0000  4 Rh 2.50, 2 Sm 2.69
Rh1 0.0000 0.7409 0.2591  1 Zn 2.50
Rh2 0.4818 0.7409 0.7409  1 Zn 2.50
Rh3 0.0000 0.2591 0.7409  1 Zn 2.50
Rh4 0.5182 0.2591 0.2591  1 Zn 2.50

=====

[5]
A plane-wave DFT calculation with PBE-GGA was carried out for a geometry-optimized NdSnRh2 structure.

Its total energy is -25.601 eV/cell. The calculation puts the energy of formation from the pure elements at -532 meV per atom. As for the space-group type: P4/mmm (123). The density of states at the Fermi level is 2.3 states/eV per cell.

Lattice parameters (Å, degrees): 3.4919 3.4919 6.4775 90.00 90.00 90.00
With the nearest neighbours (Å) after each atom.
Atoms (fractional coordinates):
Rh1 0.0000 0.0000 0.7787  4 Sn 2.86, 1 Rh 2.87, 4 Nd 3.06
Rh2 0.0000 0.0000 0.2213  4 Sn 2.86, 1 Rh 2.87, 4 Nd 3.06
Nd1 0.5000 0.5000 0.5000  8 Rh 3.06, 2 Sn 3.24
Sn1 0.5000 0.5000 0.0000  8 Rh 2.86

=====

[6]
A plane-wave DFT calculation with PBE-GGA was carried out for a geometry-optimized NdSnRh4 structure.

Its total energy is -79.941 eV/cell. The calculation puts the energy of formation from the pure elements at -299 meV per atom. As for the space-group type: Pmma (51). The density of states at the Fermi level is 12.8 states/eV per cell.

Lattice parameters (Å, degrees): 4.1337 7.0529 7.6267 90.00 90.00 90.00
With the nearest neighbours (Å) after each atom.
Atoms (fractional coordinates):
Nd1 0.0000 0.6749 0.7500  8 Rh 2.91-3.01, 1 Sn 3.03
Nd2 0.0000 0.3251 0.2500  8 Rh 2.91-3.01, 1 Sn 3.03
Sn1 0.0000 0.2448 0.7500  8 Rh 2.57-2.86
Sn2 0.0000 0.7552 0.2500  8 Rh 2.57-2.86
Rh1 0.0000 0.0000 0.5000  2 Sn 2.57, 4 Rh 2.82
Rh2 0.0000 0.0000 0.0000  2 Sn 2.57, 4 Rh 2.82
Rh3 0.5000 0.9644 0.7500  8 Rh 2.82-2.87, 2 Sn 2.86, 2 Nd 2.91
Rh4 0.5000 0.0356 0.2500  8 Rh 2.82-2.87, 2 Sn 2.86, 2 Nd 2.91
Rh5 0.5000 0.7000 0.0365  2 Sn 2.66, 5 Rh 2.87-2.97
Rh6 0.5000 0.3000 0.9635  2 Sn 2.66, 5 Rh 2.87-2.97
Rh7 0.5000 0.7000 0.4635  2 Sn 2.66, 5 Rh 2.87-2.97
Rh8 0.5000 0.3000 0.5365  2 Sn 2.66, 5 Rh 2.87-2.97

=====

[7]
A plane-wave DFT calculation with PBE-GGA was carried out for a geometry-optimized NdSn2Rh3 structure.

Its total energy is -38.698 eV/cell. The calculation puts the energy of formation from the pure elements at -645 meV per atom. As for the space-group type: P-3m1 (164). The density of states at the Fermi level is 3.8 states/eV per cell.

Lattice parameters (Å, degrees): 4.5590 4.5590 6.5683 90.00 90.00 120.00
With the nearest neighbours (Å) after each atom.
Atoms (fractional coordinates):
Nd1 0.0000 0.0000 0.0000  8 Rh 3.19-3.28, 6 Sn 3.36
Sn1 0.6667 0.3333 0.3187  7 Rh 2.65-2.89
Sn2 0.3333 0.6667 0.6813  7 Rh 2.65-2.89
Rh1 0.0000 0.0000 0.5000  6 Sn 2.89, 6 Rh 3.02
Rh2 0.6667 0.3333 0.7268  4 Sn 2.65-2.68
Rh3 0.3333 0.6667 0.2732  4 Sn 2.65-2.68

=====

[8]
A plane-wave DFT calculation with PBE-GGA was carried out for a geometry-optimized Nd2Sn4Rh3 structure.

Its total energy is -53.439 eV/cell. The calculation puts the energy of formation from the pure elements at -649 meV per atom. As for the space-group type: Fmmm (69). The density of states at the Fermi level is 4.5 states/eV per cell.

Lattice parameters (Å, degrees): 5.8297 5.8297 7.3320 101.47 101.47 119.98
With the nearest neighbours (Å) after each atom.
Atoms (fractional coordinates):
Nd1 0.6234 0.6234 0.2468  1 Nd 3.32, 6 Rh 3.35-3.36, 8 Sn 3.38-3.41
Nd2 0.3766 0.3766 0.7532  1 Nd 3.32, 6 Rh 3.35-3.36, 8 Sn 3.38-3.41
Sn1 0.0070 0.6771 0.6841  3 Rh 2.70-2.72, 1 Sn 3.01
Sn2 0.6771 0.0070 0.6841  3 Rh 2.70-2.72, 1 Sn 3.01
Sn3 0.9930 0.3229 0.3159  3 Rh 2.70-2.72, 1 Sn 3.01
Sn4 0.3229 0.9930 0.3159  3 Rh 2.70-2.72, 1 Sn 3.01
Rh1 0.5000 0.0000 0.0000  4 Sn 2.72, 4 Rh 2.91-2.92
Rh2 0.0000 0.0000 0.0000  4 Sn 2.70, 4 Rh 2.91
Rh3 0.0000 0.5000 0.0000  4 Sn 2.72, 4 Rh 2.91-2.92

=====

[9]
A plane-wave DFT calculation with PBE-GGA was carried out for a geometry-optimized NdSn3Rh structure.

Its total energy is -26.247 eV/cell. The calculation puts the energy of formation from the pure elements at -424 meV per atom. As for the space-group type: P4mm (99). The density of states at the Fermi level is 2.1 states/eV per cell.

Lattice parameters (Å, degrees): 4.7792 4.7792 5.5609 90.00 90.00 90.00
With the nearest neighbours (Å) after each atom.
Atoms (fractional coordinates):
Nd1 0.5000 0.5000 0.8497  12 Sn 3.54-3.79, 4 Rh 3.68
Sn1 0.0000 0.0000 0.6603  1 Rh 2.52
Sn2 0.5000 0.0000 0.3202  2 Rh 2.65
Sn3 0.0000 0.5000 0.3202  2 Rh 2.65
Rh1 0.0000 0.0000 0.1133  5 Sn 2.52-2.65

=====

[10]
A plane-wave DFT calculation with PBE-GGA was carried out for a geometry-optimized Nd3Sn4Rh2 structure.

Its total energy is -51.899 eV/cell. The calculation puts the energy of formation from the pure elements at -765 meV per atom. As for the space-group type: C2/m (12). The density of states at the Fermi level is 5.2 states/eV per cell.

Lattice parameters (Å, degrees): 4.6382 6.2355 9.2849 66.32 75.54 68.17
With the nearest neighbours (Å) after each atom.
Atoms (fractional coordinates):
Nd1 0.3691 0.5746 0.6871  3 Rh 3.04-3.24, 5 Sn 3.30-3.34
Nd2 0.0000 0.0000 0.0000  6 Sn 3.24-3.31
Nd3 0.6309 0.4254 0.3129  3 Rh 3.04-3.24, 5 Sn 3.30-3.34
Sn1 0.2944 0.3323 0.0789  1 Rh 2.70
Sn2 0.7056 0.6677 0.9211  1 Rh 2.70
Sn3 0.0876 0.2169 0.6079  3 Rh 2.65-2.71
Sn4 0.9124 0.7831 0.3921  3 Rh 2.65-2.71
Rh1 0.3050 0.0113 0.3788  4 Sn 2.65-2.71
Rh2 0.6950 0.9887 0.6212  4 Sn 2.65-2.71

=====

[11]
A plane-wave DFT calculation with PBE-GGA was carried out for a geometry-optimized NdSnRh2 structure.

Its total energy is -25.946 eV/cell. The calculation puts the energy of formation from the pure elements at -618 meV per atom. As for the space-group type: P4/mmm (123). The density of states at the Fermi level is 3.2 states/eV per cell.

Lattice parameters (Å, degrees): 3.6381 4.6325 4.6325 90.00 90.00 90.00
With the nearest neighbours (Å) after each atom.
Atoms (fractional coordinates):
Rh1 0.0000 0.0000 0.5000  4 Sn 2.95, 4 Nd 2.95, 4 Rh 3.28
Rh2 0.0000 0.5000 0.0000  4 Sn 2.95, 4 Nd 2.95, 4 Rh 3.28
Nd1 0.5000 0.5000 0.5000  8 Rh 2.95, 4 Sn 3.28
Sn1 0.5000 0.0000 0.0000  8 Rh 2.95, 4 Nd 3.28

=====

[12]
A plane-wave DFT calculation with PBE-GGA was carried out for a geometry-optimized Nd2Sn3Rh2 structure.

Its total energy is -82.387 eV/cell. The calculation puts the energy of formation from the pure elements at -707 meV per atom. As for the space-group type: Cmcm (63). The density of states at the Fermi level is 9.8 states/eV per cell.

Lattice parameters (Å, degrees): 4.4380 7.5085 10.1559 90.00 102.62 90.00
With the nearest neighbours (Å) after each atom.
Atoms (fractional coordinates):
Nd1 0.1667 0.2500 0.3334  6 Rh 3.07-3.19, 6 Sn 3.24-3.28
Nd2 0.8333 0.7500 0.6666  6 Rh 3.07-3.19, 6 Sn 3.24-3.28
Nd3 0.9496 0.2500 0.8992  9 Sn 3.22-3.55
Nd4 0.0504 0.7500 0.1008  9 Sn 3.22-3.55
Sn1 0.2144 0.7500 0.4288  6 Rh 2.72-2.79
Sn2 0.7856 0.2500 0.5712  6 Rh 2.72-2.79
Sn3 0.5689 0.4427 0.1377  1 Rh 2.70, 2 Sn 2.86-2.89
Sn4 0.4311 0.5573 0.8623  1 Rh 2.70, 2 Sn 2.86-2.89
Sn5 0.4311 0.9427 0.8623  1 Rh 2.70, 2 Sn 2.86-2.89
Sn6 0.5689 0.0573 0.1377  1 Rh 2.70, 2 Sn 2.86-2.89
Rh1 0.6994 0.9564 0.3987  4 Sn 2.70-2.79
Rh2 0.3006 0.0436 0.6013  4 Sn 2.70-2.79
Rh3 0.3006 0.4564 0.6013  4 Sn 2.70-2.79
Rh4 0.6994 0.5436 0.3987  4 Sn 2.70-2.79